Mo4PbAuC2 | PBE | optimized geometry

Output
As for the symmetry: P-6m2. The total energy is -67.560 eV/cell. The value obtained for the magnetization is 0.0 μB/f.u. For the calculated volume, the calculation gives 119.8 Å³ per cell. The density is 11.3 g/cm³.

Unit cell a=3.1696 b=3.1696 c=13.7684 alpha=90.00 beta=90.00 gamma=120.00
Closest atoms and distances in Å follow each position.
Sites, in units of the cell vectors:
Mo 0.0000 0.0000 0.1637  3 C 2.13
Mo 0.0000 0.0000 0.8363  3 C 2.13
Mo 0.6667 0.3333 0.3219  3 C 2.13
Mo 0.6667 0.3333 0.6781  3 C 2.13
Pb 0.0000 0.0000 0.5000  6 Mo 3.06, 6 Pb 3.17
Au 0.6667 0.3333 0.0000  6 Mo 2.90, 6 Au 3.17
C 0.3333 0.6667 0.2430  6 Mo 2.13
C 0.3333 0.6667 0.7570  6 Mo 2.13